## AcPmU (PBE)

Data for a geometry-optimized AcPmU structure.

Output
- Space-group type: F-43m (216)
- Total DFT energy (no corrections): -16.4 eV/f.u.
- Crystal system: cubic
- Energy relative to the elements: 121.00 kJ/mol of atoms
- Relative energy among the computed polymorphs: 0.000 eV per formula unit

Structure (extended XYZ):
```
3
Lattice="2.763 -4.577 -1.196 2.700 -2.679 3.943 -1.836 -4.849 1.769" Properties=species:S:1:pos:R:3 pbc="T T T"
Ac 0.907 -3.026 1.129
Pm 2.720 -9.079 3.387
U 0.000 0.000 0.000
```